No. 1
Ca2HgBr PBE relaxed; energy above the lowest structure with this stoichiometry = 1.1 meV/atom; energy relative to the elements, uncorrected = -0.9443 eV/atom; space-group type = R-3m, No. 166
1.0
-2.135 3.102 1.624
-3.773 0.835 -1.372
-5.172 -3.854 5.745
Hg Ca Br
1 2 1
Direct
0.750 0.750 0.750 Hg
0.497 0.497 0.508 Ca
0.003 0.003 0.992 Ca
0.250 0.250 0.250 Br


No. 2
Cd2AgP PBE relaxed; electronic total energy = -9.34 eV per cell; space-group type = Pm, No. 6
1.0
-0.509 0.852 4.695
0.687 -2.994 0.618
4.949 2.763 0.036
Ag P Cd
1 1 2
Direct
0.500 0.589 0.802 Ag
0.000 0.437 0.502 P
0.500 0.320 0.264 Cd
0.000 0.154 0.932 Cd